(1)
DFT (PBE) results for a relaxed ScBe3Ge crystal.

Values from the calculation:
DOS(E_F)	0.418	states/eV per atom
uncorrected energy	-19.0	eV/cell
total magnetic moment	0.000	μB per cell
formation energy from the elements	635	meV per atom

```
data_ScBe3Ge
_symmetry_space_group_name_H-M 'P m -3 m'
_symmetry_Int_Tables_number 221
_symmetry_space_group_name_Hall '-P 4 2 3'
_cell_length_a 4.2362
_cell_length_b 4.2362
_cell_length_c 4.2362
_cell_angle_alpha 90.00
_cell_angle_beta 90.00
_cell_angle_gamma 90.00
loop_
_atom_site_label
_atom_site_type_symbol
_atom_site_fract_x
_atom_site_fract_y
_atom_site_fract_z
Sc1 Sc 0.0000 0.0000 0.0000
Be1 Be 0.0000 0.5000 0.5000
Ge1 Ge 0.5000 0.5000 0.5000
```

(2)
DFT (PBE) results for a relaxed U2SiSe crystal.

Values from the calculation:
DOS(E_F)	2.875	states/eV per atom
uncorrected energy	-100.6	eV/cell
uncorrected formation energy	-515	meV/atom
total magnetic moment	14.350	μB per cell

```
data_U2SiSe
_symmetry_space_group_name_H-M 'R -3 m'
_symmetry_Int_Tables_number 166
_symmetry_space_group_name_Hall '-R 3 2"'
_cell_length_a 4.1569
_cell_length_b 4.1569
_cell_length_c 18.9415
_cell_angle_alpha 90.00
_cell_angle_beta 90.00
_cell_angle_gamma 120.00
loop_
_atom_site_label
_atom_site_type_symbol
_atom_site_fract_x
_atom_site_fract_y
_atom_site_fract_z
U1 U 0.0000 0.0000 0.2473
Si1 Si 0.0000 0.0000 0.5000
Se1 Se 0.0000 0.0000 0.0000
```

(3)
DFT (PBE) results for a relaxed Li3Sn3Hg2 crystal.

Values from the calculation:
DOS(E_F)	0.313	states/eV per atom
uncorrected energy	-20.6	eV/cell
total magnetic moment	0.000	μB per cell
formation energy from the elements	-279	meV per atom

```
data_Li3Sn3Hg2
_symmetry_space_group_name_H-M 'P -6 2 m'
_symmetry_Int_Tables_number 189
_symmetry_space_group_name_Hall 'P -6 -2'
_cell_length_a 7.7890
_cell_length_b 7.7890
_cell_length_c 3.2722
_cell_angle_alpha 90.00
_cell_angle_beta 90.00
_cell_angle_gamma 120.00
loop_
_atom_site_label
_atom_site_type_symbol
_atom_site_fract_x
_atom_site_fract_y
_atom_site_fract_z
Li1 Li 0.0000 0.6146 0.0000
Sn1 Sn 0.0000 0.2351 0.5000
Hg1 Hg 0.3333 0.6667 0.5000
```